# 1
{"formula": "Dy2ScCo9", "functional": "PBE", "state": "relaxed", "spacegroup": "R-3m (166)", "ef_ev_per_atom": -0.172, "lattice": [[2.452, 1.416, 8.136], [-2.452, 1.416, 8.136], [0.000, -2.831, 8.136]], "species": ["Dy", "Dy", "Sc", "Co", "Co", "Co", "Co", "Co", "Co", "Co", "Co", "Co"], "frac_coords": [[0.139, 0.139, 0.139], [0.861, 0.861, 0.861], [0.000, 0.000, 0.000], [0.078, 0.581, 0.581], [0.334, 0.334, 0.334], [0.419, 0.419, 0.922], [0.419, 0.922, 0.419], [0.500, 0.500, 0.500], [0.581, 0.078, 0.581], [0.581, 0.581, 0.078], [0.666, 0.666, 0.666], [0.922, 0.419, 0.419]]}

=====

# 2
{"formula": "DySc4Co5", "functional": "PBE", "state": "relaxed", "spacegroup": "P4/mmm (123)", "ef_ev_per_atom": -0.296, "lattice": [[3.164, 0.000, 0.000], [0.000, 3.164, 0.000], [0.000, 0.000, 15.841]], "species": ["Dy", "Sc", "Sc", "Sc", "Sc", "Co", "Co", "Co", "Co", "Co"], "frac_coords": [[0.000, 0.000, 0.000], [0.000, 0.000, 0.207], [0.000, 0.000, 0.402], [0.000, 0.000, 0.598], [0.000, 0.000, 0.793], [0.500, 0.500, 0.112], [0.500, 0.500, 0.305], [0.500, 0.500, 0.500], [0.500, 0.500, 0.695], [0.500, 0.500, 0.888]]}

=====

# 3
{"formula": "Dy2ScCo", "functional": "PBE", "state": "relaxed", "spacegroup": "R-3m (166)", "relative_energy_mev_per_atom": 403, "ef_ev_per_atom": 0.229, "lattice": [[1.723, 0.995, 10.053], [-1.723, 0.995, 10.053], [0.000, -1.990, 10.053]], "species": ["Dy", "Dy", "Sc", "Co"], "frac_coords": [[0.109, 0.109, 0.109], [0.891, 0.891, 0.891], [0.000, 0.000, 0.000], [0.500, 0.500, 0.500]]}

=====

# 4
{"formula": "DyScCo", "functional": "PBE", "state": "relaxed", "spacegroup": "Immm (71)", "relative_energy_mev_per_atom": 0, "ef_ev_per_atom": -0.192, "lattice": [[-1.753, 3.197, 5.742], [1.753, -3.197, 5.742], [1.753, 3.197, -5.742]], "species": ["Dy", "Dy", "Sc", "Sc", "Co", "Co"], "frac_coords": [[0.217, 0.217, 0.000], [0.783, 0.783, 0.000], [0.264, 0.500, 0.764], [0.736, 0.500, 0.236], [0.389, 0.889, 0.500], [0.611, 0.111, 0.500]]}

=====

# 5
{"formula": "Dy2ScCo", "functional": "PBE", "state": "relaxed", "spacegroup": "P4/mmm (123)", "relative_energy_mev_per_atom": 144, "ef_ev_per_atom": -0.031, "lattice": [[3.385, 0.000, 0.000], [0.000, 3.385, 0.000], [0.000, 0.000, 8.300]], "species": ["Dy", "Dy", "Sc", "Co"], "frac_coords": [[0.000, 0.000, 0.196], [0.000, 0.000, 0.804], [0.500, 0.500, 0.500], [0.500, 0.500, 0.000]]}

=====

# 6
{"formula": "DySc4Co2", "functional": "PBE", "state": "relaxed", "spacegroup": "P2_1/m (11)", "ef_ev_per_atom": -0.151, "lattice": [[7.080, 0.000, 0.000], [0.000, 5.872, 0.000], [-3.053, 0.000, 6.977]], "species": ["Dy", "Dy", "Sc", "Sc", "Sc", "Sc", "Sc", "Sc", "Sc", "Sc", "Co", "Co", "Co", "Co"], "frac_coords": [[0.014, 0.250, 0.163], [0.986, 0.750, 0.837], [0.243, 0.000, 0.583], [0.243, 0.500, 0.583], [0.332, 0.750, 0.262], [0.384, 0.250, 0.015], [0.616, 0.750, 0.985], [0.668, 0.250, 0.738], [0.757, 0.000, 0.417], [0.757, 0.500, 0.417], [0.020, 0.250, 0.728], [0.420, 0.250, 0.371], [0.580, 0.750, 0.629], [0.980, 0.750, 0.272]]}

=====

# 7
{"formula": "DySc3Co4", "functional": "PBE", "state": "relaxed", "spacegroup": "P4/mmm (123)", "ef_ev_per_atom": -0.280, "lattice": [[4.481, 0.000, 0.000], [0.000, 4.481, 0.000], [0.000, 0.000, 6.386]], "species": ["Dy", "Sc", "Sc", "Sc", "Co", "Co", "Co", "Co"], "frac_coords": [[0.000, 0.000, 0.000], [0.000, 0.000, 0.500], [0.500, 0.500, 0.000], [0.500, 0.500, 0.500], [0.000, 0.500, 0.260], [0.000, 0.500, 0.740], [0.500, 0.000, 0.260], [0.500, 0.000, 0.740]]}

=====

# 8
{"formula": "DySc3Co2", "functional": "PBE", "state": "relaxed", "spacegroup": "C2/m (12)", "ef_ev_per_atom": -0.164, "lattice": [[7.195, -2.318, 0.000], [7.195, 2.318, 0.000], [-2.933, 0.000, 6.990]], "species": ["Dy", "Dy", "Sc", "Sc", "Sc", "Sc", "Sc", "Sc", "Co", "Co", "Co", "Co"], "frac_coords": [[0.131, 0.131, 0.216], [0.869, 0.869, 0.784], [0.069, 0.069, 0.727], [0.316, 0.316, 0.019], [0.371, 0.371, 0.487], [0.629, 0.629, 0.513], [0.684, 0.684, 0.981], [0.931, 0.931, 0.273], [0.228, 0.228, 0.637], [0.499, 0.499, 0.844], [0.501, 0.501, 0.156], [0.772, 0.772, 0.363]]}

=====

# 9
{"formula": "DyScCo2", "functional": "PBE", "state": "relaxed", "spacegroup": "Fm-3m (225)", "relative_energy_mev_per_atom": 3, "ef_ev_per_atom": -0.222, "lattice": [[0.000, 3.232, 3.232], [3.232, 0.000, 3.232], [3.232, 3.232, 0.000]], "species": ["Dy", "Sc", "Co", "Co"], "frac_coords": [[0.000, 0.000, 0.000], [0.500, 0.500, 0.500], [0.250, 0.250, 0.250], [0.750, 0.750, 0.750]]}

=====

# 10
{"formula": "DyScCo", "functional": "PBE", "state": "relaxed", "spacegroup": "F-43m (216)", "relative_energy_mev_per_atom": 120, "ef_ev_per_atom": -0.072, "lattice": [[0.000, 3.205, 3.205], [3.205, 0.000, 3.205], [3.205, 3.205, 0.000]], "species": ["Dy", "Sc", "Co"], "frac_coords": [[0.000, 0.000, 0.000], [0.500, 0.500, 0.500], [0.250, 0.250, 0.250]]}

=====

# 11
{"formula": "Dy2ScCo", "functional": "PBE", "state": "relaxed", "spacegroup": "Pnma (62)", "relative_energy_mev_per_atom": 0, "ef_ev_per_atom": -0.174, "lattice": [[6.782, 0.000, 0.000], [0.000, 9.184, 0.000], [0.000, 0.000, 6.082]], "species": ["Dy", "Dy", "Dy", "Dy", "Dy", "Dy", "Dy", "Dy", "Sc", "Sc", "Sc", "Sc", "Co", "Co", "Co", "Co"], "frac_coords": [[0.181, 0.066, 0.178], [0.181, 0.434, 0.178], [0.319, 0.566, 0.678], [0.319, 0.934, 0.678], [0.681, 0.066, 0.322], [0.681, 0.434, 0.322], [0.819, 0.566, 0.822], [0.819, 0.934, 0.822], [0.046, 0.250, 0.645], [0.454, 0.750, 0.145], [0.546, 0.250, 0.855], [0.954, 0.750, 0.355], [0.114, 0.750, 0.977], [0.386, 0.250, 0.477], [0.614, 0.750, 0.523], [0.886, 0.250, 0.023]]}

=====

# 12
{"formula": "DyScCo2", "functional": "PBE", "state": "relaxed", "spacegroup": "P4/mmm (123)", "relative_energy_mev_per_atom": 0, "ef_ev_per_atom": -0.226, "lattice": [[3.231, 0.000, 0.000], [0.000, 3.231, 0.000], [0.000, 0.000, 6.468]], "species": ["Dy", "Sc", "Co", "Co"], "frac_coords": [[0.000, 0.000, 0.000], [0.000, 0.000, 0.500], [0.500, 0.500, 0.269], [0.500, 0.500, 0.731]]}

=====

# 13
{"formula": "DyScCo", "functional": "PBE", "state": "relaxed", "spacegroup": "I4mm (107)", "relative_energy_mev_per_atom": 33, "ef_ev_per_atom": -0.158, "lattice": [[-1.625, 1.625, 6.027], [1.625, -1.625, 6.027], [1.625, 1.625, -6.027]], "species": ["Dy", "Sc", "Co"], "frac_coords": [[0.000, 0.000, 0.000], [0.261, 0.261, 0.000], [0.643, 0.643, 0.000]]}

=====

# 14
{"formula": "DySc5Co4", "functional": "PBE", "state": "relaxed", "spacegroup": "P4/mmm (123)", "ef_ev_per_atom": -0.279, "lattice": [[3.146, 0.000, 0.000], [0.000, 3.146, 0.000], [0.000, 0.000, 17.863]], "species": ["Dy", "Sc", "Sc", "Sc", "Sc", "Sc", "Co", "Co", "Co", "Co"], "frac_coords": [[0.000, 0.000, 0.000], [0.500, 0.500, 0.154], [0.500, 0.500, 0.326], [0.500, 0.500, 0.500], [0.500, 0.500, 0.674], [0.500, 0.500, 0.846], [0.000, 0.000, 0.236], [0.000, 0.000, 0.413], [0.000, 0.000, 0.587], [0.000, 0.000, 0.764]]}

=====

# 15
{"formula": "Dy3Sc2Co2", "functional": "PBE", "state": "relaxed", "spacegroup": "C2/m (12)", "ef_ev_per_atom": -0.176, "lattice": [[5.778, -1.784, 0.000], [5.778, 1.784, 0.000], [-3.585, 0.000, 7.688]], "species": ["Dy", "Dy", "Dy", "Sc", "Sc", "Co", "Co"], "frac_coords": [[0.000, 0.000, 0.000], [0.115, 0.115, 0.430], [0.885, 0.885, 0.570], [0.325, 0.325, 0.183], [0.675, 0.675, 0.817], [0.312, 0.312, 0.766], [0.688, 0.688, 0.234]]}

=====

# 16
{"formula": "DyScZnCo", "functional": "PBE", "state": "relaxed", "spacegroup": "F-43m (216)", "ef_ev_per_atom": -0.258, "lattice": [[0.000, 3.342, 3.342], [3.342, 0.000, 3.342], [3.342, 3.342, 0.000]], "species": ["Dy", "Sc", "Zn", "Co"], "frac_coords": [[0.000, 0.000, 0.000], [0.500, 0.500, 0.500], [0.250, 0.250, 0.250], [0.750, 0.750, 0.750]]}

=====

# 17
{"formula": "Dy12Co5Se3", "functional": "PBE", "state": "relaxed", "spacegroup": "Ia-3d (230)", "raw_formation_energy_ev_per_atom": -0.260, "lattice": [[-8.101, 8.101, 8.101], [8.101, -8.101, 8.101], [8.101, 8.101, -8.101]], "species": ["Dy", "Dy", "Dy", "Dy", "Dy", "Dy", "Dy", "Dy", "Dy", "Dy", "Dy", "Dy", "Dy", "Dy", "Dy", "Dy", "Dy", "Dy", "Dy", "Dy", "Dy", "Dy", "Dy", "Dy", "Dy", "Dy", "Dy", "Dy", "Dy", "Dy", "Dy", "Dy", "Dy", "Dy", "Dy", "Dy", "Dy", "Dy", "Dy", "Dy", "Dy", "Dy", "Dy", "Dy", "Dy", "Dy", "Dy", "Dy", "Co", "Co", "Co", "Co", "Co", "Co", "Co", "Co", "Co", "Co", "Co", "Co", "Co", "Co", "Co", "Co", "Co", "Co", "Co", "Co", "Se", "Se", "Se", "Se", "Se", "Se", "Se", "Se", "Se", "Se", "Se", "Se"], "frac_coords": [[0.027, 0.203, 0.118], [0.027, 0.324, 0.909], [0.085, 0.703, 0.676], [0.085, 0.882, 0.409], [0.091, 0.618, 0.415], [0.091, 0.973, 0.676], [0.118, 0.027, 0.203], [0.118, 0.591, 0.915], [0.176, 0.203, 0.585], [0.176, 0.473, 0.591], [0.203, 0.118, 0.027], [0.203, 0.585, 0.176], [0.297, 0.324, 0.915], [0.297, 0.473, 0.382], [0.324, 0.909, 0.027], [0.324, 0.915, 0.297], [0.382, 0.297, 0.473], [0.382, 0.585, 0.909], [0.409, 0.085, 0.882], [0.409, 0.824, 0.527], [0.415, 0.091, 0.618], [0.415, 0.824, 0.797], [0.473, 0.382, 0.297], [0.473, 0.591, 0.176], [0.527, 0.409, 0.824], [0.527, 0.618, 0.703], [0.585, 0.176, 0.203], [0.585, 0.909, 0.382], [0.591, 0.176, 0.473], [0.591, 0.915, 0.118], [0.618, 0.415, 0.091], [0.618, 0.703, 0.527], [0.676, 0.085, 0.703], [0.676, 0.091, 0.973], [0.703, 0.527, 0.618], [0.703, 0.676, 0.085], [0.797, 0.415, 0.824], [0.797, 0.882, 0.973], [0.824, 0.527, 0.409], [0.824, 0.797, 0.415], [0.882, 0.409, 0.085], [0.882, 0.973, 0.797], [0.909, 0.027, 0.324], [0.909, 0.382, 0.585], [0.915, 0.118, 0.591], [0.915, 0.297, 0.324], [0.973, 0.676, 0.091], [0.973, 0.797, 0.882], [0.000, 0.000, 0.000], [0.000, 0.000, 0.500], [0.000, 0.500, 0.000], [0.000, 0.500, 0.500], [0.125, 0.750, 0.875], [0.125, 0.875, 0.250], [0.250, 0.125, 0.875], [0.250, 0.625, 0.375], [0.375, 0.250, 0.625], [0.375, 0.625, 0.750], [0.500, 0.000, 0.000], [0.500, 0.000, 0.500], [0.500, 0.500, 0.000], [0.500, 0.500, 0.500], [0.625, 0.375, 0.250], [0.625, 0.750, 0.375], [0.750, 0.375, 0.625], [0.750, 0.875, 0.125], [0.875, 0.125, 0.750], [0.875, 0.250, 0.125], [0.125, 0.250, 0.375], [0.125, 0.375, 0.750], [0.250, 0.375, 0.125], [0.250, 0.875, 0.625], [0.375, 0.125, 0.250], [0.375, 0.750, 0.125], [0.625, 0.250, 0.875], [0.625, 0.875, 0.750], [0.750, 0.125, 0.375], [0.750, 0.625, 0.875], [0.875, 0.625, 0.250], [0.875, 0.750, 0.625]]}

=====

# 18
{"formula": "Dy5Co2Se2", "functional": "PBE", "state": "relaxed", "spacegroup": "Cmce (64)", "raw_formation_energy_ev_per_atom": -0.845, "lattice": [[7.441, -3.741, 0.000], [7.441, 3.741, 0.000], [0.000, 0.000, 7.411]], "species": ["Dy", "Dy", "Dy", "Dy", "Dy", "Dy", "Dy", "Dy", "Dy", "Dy", "Co", "Co", "Co", "Co", "Se", "Se", "Se", "Se"], "frac_coords": [[0.000, 0.000, 0.000], [0.041, 0.712, 0.660], [0.212, 0.541, 0.160], [0.288, 0.959, 0.660], [0.459, 0.788, 0.160], [0.500, 0.500, 0.500], [0.541, 0.212, 0.840], [0.712, 0.041, 0.340], [0.788, 0.459, 0.840], [0.959, 0.288, 0.340], [0.131, 0.869, 0.372], [0.369, 0.631, 0.872], [0.631, 0.369, 0.128], [0.869, 0.131, 0.628], [0.207, 0.207, 0.000], [0.293, 0.293, 0.500], [0.707, 0.707, 0.500], [0.793, 0.793, 0.000]]}

=====

# 19
{"formula": "Dy7CoSe5", "functional": "PBE", "state": "relaxed", "spacegroup": "Cmc2_1 (36)", "raw_formation_energy_ev_per_atom": -1.374, "lattice": [[1.959, -6.728, 0.000], [1.959, 6.728, 0.000], [0.000, 0.000, 24.357]], "species": ["Dy", "Dy", "Dy", "Dy", "Dy", "Dy", "Dy", "Dy", "Dy", "Dy", "Dy", "Dy", "Dy", "Dy", "Co", "Co", "Se", "Se", "Se", "Se", "Se", "Se", "Se", "Se", "Se", "Se"], "frac_coords": [[0.052, 0.948, 0.500], [0.133, 0.867, 0.785], [0.146, 0.854, 0.210], [0.287, 0.713, 0.567], [0.300, 0.700, 0.433], [0.399, 0.601, 0.876], [0.422, 0.578, 0.137], [0.578, 0.422, 0.637], [0.601, 0.399, 0.376], [0.700, 0.300, 0.933], [0.713, 0.287, 0.067], [0.854, 0.146, 0.710], [0.867, 0.133, 0.285], [0.948, 0.052, 0.000], [0.310, 0.690, 0.989], [0.690, 0.310, 0.489], [0.052, 0.948, 0.893], [0.064, 0.936, 0.103], [0.213, 0.787, 0.677], [0.226, 0.774, 0.321], [0.490, 0.510, 0.751], [0.510, 0.490, 0.251], [0.774, 0.226, 0.821], [0.787, 0.213, 0.177], [0.936, 0.064, 0.603], [0.948, 0.052, 0.393]]}

=====

# 20
{"formula": "Dy3CoSe2", "functional": "PBE", "state": "relaxed", "spacegroup": "Immm (71)", "raw_formation_energy_ev_per_atom": -1.162, "lattice": [[-1.937, 2.879, 6.307], [1.937, -2.879, 6.307], [1.937, 2.879, -6.307]], "species": ["Dy", "Dy", "Dy", "Co", "Se", "Se"], "frac_coords": [[0.000, 0.000, 0.000], [0.355, 0.355, 0.000], [0.645, 0.645, 0.000], [0.500, 0.000, 0.500], [0.175, 0.675, 0.500], [0.825, 0.325, 0.500]]}

=====

no.,calculated volume (Å³/cell)
1,169
2,159
3,103
4,129
5,95
6,290
7,128
8,233
9,68
10,66
11,379
12,67
13,64
14,177
15,158
16,75
17,2127
18,413
19,642
20,141